DFT (GGA-PBE) results for a geometry-optimized Mn2Ga2Co3 structure.

Computed properties:
Total energy in eV per atom: -6.61
DOS(E_F) in states/eV/atom: 1.016

a b c (Å): 4.0246 4.0246 6.8071
angles (deg): 107.12 107.12 60.10
Closest atoms and distances in Å follow each position.
Sites, in units of the cell vectors:
Mn 0.1170 0.1170 0.3503  7 Co 2.38-2.52
Mn 0.8830 0.8830 0.6497  7 Co 2.38-2.52
Ga 0.3719 0.3719 0.1150  5 Co 2.46-2.53, 3 Ga 2.75
Ga 0.6281 0.6281 0.8850  5 Co 2.46-2.53, 3 Ga 2.75
Co 0.2440 0.2440 0.7302  4 Mn 2.38-2.43, 4 Ga 2.46-2.53
Co 0.5000 0.5000 0.5000  2 Ga 2.46, 6 Mn 2.51-2.52, 6 Co 2.75-2.76
Co 0.7560 0.7560 0.2698  4 Mn 2.38-2.43, 4 Ga 2.46-2.53